The following is a GGA-PBEsol calculation of a relaxed Ba2InPt2 crystal, from the Alexandria database.

Output
symmetry = P4/mbm
magnetic moment = 0.00 μB per formula unit
formation energy = -0.57 eV/atom

abc: 4.578 7.698 7.698
angles: 90.00 90.00 90.00
Element x y z (fractional)
Ba1 0.500 0.326 0.174
Ba2 0.500 0.674 0.826
Ba3 0.500 0.174 0.674
Ba4 0.500 0.826 0.326
Pt1 0.000 0.873 0.627
Pt2 0.000 0.127 0.373
Pt3 0.000 0.627 0.127
Pt4 0.000 0.373 0.873
In1 0.000 0.000 0.000
In2 0.000 0.500 0.500